Material: CdIn2Sb
Method: DFT, PBE
State: relaxed

## Properties
Its raw formation energy is 0.054 eV/atom. Its offset from the most stable computed form is 0.0172 eV/atom. Its density of states at the Fermi level is 0.45 states/eV/atom.

Cell and atoms, written as POSCAR:
```
CdIn2Sb
1.0
0.000 3.805 3.805
3.805 0.000 3.805
3.805 3.805 0.000
In Cd Sb
2 1 1
Direct
0.750 0.750 0.750
0.250 0.250 0.250
0.000 0.000 0.000
0.500 0.500 0.500
```